No. 1
Compound: FeAgBiPd
Source: OQMD via LeMat-Bulk
Functional: PBE
Structure: relaxed

Cell lengths 4.683, 4.683, 4.683 Å; angles 60.00, 60.00, 60.00 degrees
Positions (direct):
Ag 0.500 0.500 0.500
Bi 0.000 0.000 0.000
Fe 0.750 0.750 0.750
Pd 0.250 0.250 0.250

Computed properties:
The value obtained for the total DFT energy (no corrections) is -19.67 eV/f.u. As for the size of the total moment: 2.82 μB per cell. Its symmetry is F-43m.

No. 2
Compound: Pm2Te2Se
Source: OQMD via LeMat-Bulk
Functional: PBE
Structure: relaxed

Cell lengths 4.394, 4.394, 15.751 Å; angles 90.00, 90.00, 90.00 degrees
Positions (direct):
Se 0.000 0.000 0.500
Se 0.500 0.500 0.500
Pm 0.000 0.500 0.908
Pm 0.500 0.000 0.092
Pm 0.500 0.000 0.630
Pm 0.000 0.500 0.370
Te 0.000 0.500 0.113
Te 0.000 0.500 0.706
Te 0.500 0.000 0.294
Te 0.500 0.000 0.887

Computed properties:
The value obtained for the total DFT energy (no corrections) is -26.46 eV/f.u. As for the size of the total moment: 0.00 μB per cell. Its symmetry is P4/nmm.

No. 3
Compound: SmYIr
Source: OQMD via LeMat-Bulk
Functional: PBE
Structure: relaxed

Cell lengths 7.253, 4.710, 8.831 Å; angles 90.00, 90.00, 90.00 degrees
Positions (direct):
Y 0.494 0.250 0.662
Y 0.994 0.250 0.838
Y 0.506 0.750 0.338
Y 0.006 0.750 0.162
Ir 0.740 0.750 0.590
Ir 0.240 0.750 0.910
Ir 0.260 0.250 0.410
Ir 0.760 0.250 0.090
Sm 0.858 0.250 0.415
Sm 0.642 0.750 0.915
Sm 0.142 0.750 0.585
Sm 0.358 0.250 0.085

Computed properties:
As for the size of the total moment: 0.02 μB per cell. The formation energy is -0.6488 eV/atom. Its symmetry is Pnma.

No. 4
Compound: Y2Tc3Ge5
Source: OQMD via LeMat-Bulk
Functional: PBE
Structure: relaxed

Cell lengths 8.599, 8.599, 8.599 Å; angles 109.99, 83.13, 141.06 degrees
Positions (direct):
Ge 0.588 0.814 0.402
Ge 0.250 0.250 0.000
Ge 0.088 0.686 0.774
Ge 0.454 0.750 0.704
Ge 0.046 0.750 0.296
Ge 0.412 0.186 0.598
Ge 0.750 0.750 0.000
Ge 0.912 0.314 0.226
Ge 0.954 0.250 0.704
Ge 0.546 0.250 0.296
Tc 0.349 0.418 0.767
Tc 0.651 0.582 0.233
Tc 0.250 0.750 0.500
Tc 0.849 0.082 0.932
Tc 0.750 0.250 0.500
Tc 0.151 0.918 0.068
Y 0.639 0.261 0.901
Y 0.361 0.739 0.099
Y 0.861 0.761 0.622
Y 0.139 0.239 0.378

Computed properties:
The value obtained for the total DFT energy (no corrections) is -72.07 eV/f.u. As for the size of the total moment: 0.06 μB per cell. Its symmetry is Ibam.

No. 5
Compound: Pd
Source: OQMD via LeMat-Bulk
Functional: PBE
Structure: relaxed

Cell lengths 6.770, 6.770, 6.770 Å; angles 90.00, 90.00, 90.00 degrees
Positions (direct):
Pd 0.695 0.695 0.695
Pd 0.125 0.198 0.448
Pd 0.945 0.555 0.445
Pd 0.305 0.195 0.805
Pd 0.698 0.052 0.875
Pd 0.625 0.302 0.552
Pd 0.302 0.552 0.625
Pd 0.055 0.055 0.055
Pd 0.555 0.445 0.945
Pd 0.948 0.375 0.802
Pd 0.875 0.698 0.052
Pd 0.552 0.625 0.302
Pd 0.448 0.125 0.198
Pd 0.195 0.805 0.305
Pd 0.445 0.945 0.555
Pd 0.052 0.875 0.698
Pd 0.375 0.802 0.948
Pd 0.805 0.305 0.195
Pd 0.802 0.948 0.375
Pd 0.198 0.448 0.125

Computed properties:
The formation energy is 0.1015 eV/atom. Its symmetry is P4_132.

No. 6
Compound: HfBeHg2
Source: OQMD via LeMat-Bulk
Functional: PBE
Structure: relaxed

Cell lengths 4.731, 4.731, 4.731 Å; angles 60.00, 60.00, 60.00 degrees
Positions (direct):
Hg 0.750 0.750 0.750
Hg 0.000 0.000 0.000
Hf 0.250 0.250 0.250
Be 0.500 0.500 0.500

Computed properties:
The value obtained for the total DFT energy (no corrections) is -12.72 eV/f.u. As for the size of the total moment: 0.00 μB per cell. Its symmetry is F-43m.

No. 7
Compound: LaLuZr
Source: OQMD via LeMat-Bulk
Functional: PBE
Structure: relaxed

Cell lengths 5.470, 5.470, 9.856 Å; angles 90.00, 90.00, 120.00 degrees
Last column: magnetic moment on the atom in μB.
Positions (direct):
La 0.667 0.333 0.494  0.02
La 0.333 0.667 0.151  0.03
La 0.333 0.667 0.842  0.03
Zr 0.000 0.000 0.995  0.19
Zr 0.000 0.000 0.326  0.05
Zr 0.000 0.000 0.664  0.04
Lu 0.667 0.333 0.826  0.02
Lu 0.333 0.667 0.497  0.01
Lu 0.667 0.333 0.161  0.02

Computed properties:
As for the size of the total moment: 0.74 μB per cell. The formation energy is 0.1951 eV/atom. Its symmetry is P3m1.

No. 8
Compound: SmReBi
Source: OQMD via LeMat-Bulk
Functional: PBE
Structure: relaxed

Cell lengths 4.856, 4.856, 4.856 Å; angles 60.00, 60.00, 60.00 degrees
Last column: magnetic moment on the atom in μB.
Positions (direct):
Re 0.250 0.250 0.250  1.26
Bi 0.000 0.000 0.000  -0.02
Sm 0.750 0.750 0.750  -0.01

Computed properties:
The value obtained for the total DFT energy (no corrections) is -18.78 eV/f.u. As for the size of the total moment: 1.47 μB per cell. Its symmetry is F-43m.

No. 9
Compound: Li2CdPdS4
Source: OQMD via LeMat-Bulk
Functional: PBE
Structure: relaxed

Cell lengths 7.547, 7.458, 5.964 Å; angles 90.00, 90.00, 90.00 degrees
Positions (direct):
S 0.500 0.352 0.731
S 0.500 0.630 0.160
S 0.000 0.370 0.660
S 0.286 0.869 0.697
S 0.214 0.131 0.197
S 0.714 0.869 0.697
S 0.000 0.648 0.231
S 0.786 0.131 0.197
Li 0.262 0.818 0.296
Li 0.762 0.182 0.796
Li 0.738 0.818 0.296
Li 0.238 0.182 0.796
Cd 0.500 0.306 0.300
Cd 0.000 0.694 0.800
Pd 0.000 0.342 0.278
Pd 0.500 0.658 0.778

Computed properties:
The value obtained for the total DFT energy (no corrections) is -30.17 eV/f.u. Its symmetry is Pmn2_1.

No. 10
Compound: RbReAs
Source: OQMD via LeMat-Bulk
Functional: PBE
Structure: relaxed

Cell lengths 5.199, 5.199, 5.199 Å; angles 60.00, 60.00, 60.00 degrees
Positions (direct):
Rb 0.000 0.000 0.000
As 0.250 0.250 0.250
Re 0.750 0.750 0.750

Computed properties:
The value obtained for the total DFT energy (no corrections) is -10.52 eV/f.u. As for the size of the total moment: 4.48 μB per cell. Its symmetry is F-43m.

No. 11
Compound: NaIn2Pt2
Source: OQMD via LeMat-Bulk
Functional: PBE
Structure: relaxed

Cell lengths 8.152, 8.152, 2.982 Å; angles 90.00, 90.00, 90.00 degrees
Positions (direct):
Pt 0.352 0.852 0.000
Pt 0.648 0.148 0.000
Pt 0.148 0.352 0.000
Pt 0.852 0.648 0.000
In 0.149 0.649 0.500
In 0.351 0.149 0.500
In 0.851 0.351 0.500
In 0.649 0.851 0.500
Na 0.500 0.500 0.000
Na 0.000 0.000 0.000

Computed properties:
The value obtained for the total DFT energy (no corrections) is -21.21 eV/f.u. As for the size of the total moment: 0.00 μB per cell. Its symmetry is P4/mbm.

No. 12
Compound: Pm2Tl2O5
Source: OQMD via LeMat-Bulk
Functional: PBE
Structure: relaxed

Cell lengths 8.862, 4.223, 4.223 Å; angles 90.00, 90.00, 90.00 degrees
Positions (direct):
O 0.500 0.500 0.500
O 0.844 0.000 0.500
O 0.844 0.500 0.000
O 0.156 0.000 0.500
O 0.156 0.500 0.000
Tl 0.000 0.000 0.000
Tl 0.500 0.000 0.000
Pm 0.754 0.500 0.500
Pm 0.246 0.500 0.500

Computed properties:
The value obtained for the total DFT energy (no corrections) is -56.43 eV/f.u. As for the size of the total moment: 0.01 μB per cell. Its symmetry is P4/mmm.

No. 13
Compound: Er4CIBr2Cl2
Source: OQMD via LeMat-Bulk
Functional: PBE
Structure: relaxed

Cell lengths 8.708, 8.708, 8.421 Å; angles 103.46, 103.46, 25.20 degrees
Last column: magnetic moment on the atom in μB.
Positions (direct):
Er 0.357 0.357 0.929  0.06
Er 0.001 0.001 0.810  0.03
Er 0.999 0.999 0.190  0.03
Er 0.643 0.643 0.071  0.06
Cl 0.170 0.170 0.857  0.00
Cl 0.830 0.830 0.143  0.00
Br 0.171 0.171 0.325  0.00
Br 0.829 0.829 0.675  0.00
I 0.500 0.500 0.500  0.00
C 0.500 0.500 0.000  0.00

Computed properties:
The value obtained for the total DFT energy (no corrections) is -50.54 eV/f.u. As for the size of the total moment: 0.26 μB per cell. Its symmetry is C2/m.

No. 14
Compound: AuSeBr6
Source: OQMD via LeMat-Bulk
Functional: PBE
Structure: relaxed

Cell lengths 7.101, 7.101, 7.101 Å; angles 60.00, 60.00, 60.00 degrees
Positions (direct):
Br 0.505 0.505 0.995
Br 0.505 0.995 0.505
Br 0.505 0.995 0.995
Br 0.995 0.505 0.995
Br 0.995 0.995 0.505
Br 0.995 0.505 0.505
Au 0.000 0.000 0.000
Se 0.250 0.250 0.250

Computed properties:
The value obtained for the total DFT energy (no corrections) is -14.68 eV/f.u. Its symmetry is F-43m.

No. 15
Compound: ZnCuAu2
Source: OQMD via LeMat-Bulk
Functional: PBE
Structure: relaxed

Cell lengths 5.879, 6.900, 6.149 Å; angles 90.00, 90.00, 90.00 degrees
Positions (direct):
Au 0.000 0.000 0.750
Au 0.500 0.500 0.750
Au 0.500 0.000 0.250
Au 0.000 0.500 0.250
Au 0.000 0.000 0.250
Au 0.000 0.500 0.750
Au 0.500 0.000 0.750
Au 0.500 0.500 0.250
Cu 0.249 0.250 0.000
Cu 0.251 0.250 0.500
Cu 0.749 0.750 0.500
Cu 0.751 0.750 0.000
Zn 0.750 0.250 0.500
Zn 0.750 0.250 0.000
Zn 0.250 0.750 0.000
Zn 0.250 0.750 0.500

Computed properties:
The formation energy is -0.1425 eV/atom. Its symmetry is Imma.

No. 16
Compound: TbNdFe2Ge2C
Source: OQMD via LeMat-Bulk
Functional: PBE
Structure: relaxed

Cell lengths 5.774, 5.774, 6.951 Å; angles 126.06, 126.06, 40.76 degrees
Positions (direct):
Ge 0.167 0.167 0.721
Ge 0.833 0.833 0.282
Tb 0.444 0.444 0.713
Fe 0.193 0.193 0.085
Fe 0.805 0.805 0.911
C 0.997 0.997 0.992
Nd 0.559 0.559 0.295

Computed properties:
The value obtained for the total DFT energy (no corrections) is -48.53 eV/f.u. As for the size of the total moment: 0.02 μB per cell. Its symmetry is Cm.

No. 17
Compound: Li2HfW
Source: OQMD via LeMat-Bulk
Functional: PBE
Structure: relaxed

Cell lengths 4.564, 4.564, 4.564 Å; angles 60.00, 60.00, 60.00 degrees
Last column: magnetic moment on the atom in μB.
Positions (direct):
W 0.750 0.750 0.750  0.63
Li 0.000 0.000 0.000  0.00
Li 0.250 0.250 0.250  0.00
Hf 0.500 0.500 0.500  0.13

Computed properties:
The value obtained for the total DFT energy (no corrections) is -23.89 eV/f.u. As for the size of the total moment: 0.94 μB per cell. Its symmetry is F-43m.

No. 18
Compound: InHgPO
Source: OQMD via LeMat-Bulk
Functional: PBE
Structure: relaxed

Cell lengths 4.071, 4.071, 9.010 Å; angles 90.00, 90.00, 90.00 degrees
Positions (direct):
Hg 0.000 0.000 0.500
Hg 0.500 0.500 0.500
O 0.000 0.000 0.000
O 0.500 0.500 0.000
In 0.500 0.000 0.893
In 0.000 0.500 0.107
P 0.500 0.000 0.298
P 0.000 0.500 0.702

Computed properties:
The value obtained for the total DFT energy (no corrections) is -14.16 eV/f.u. Its symmetry is P4/nmm.

No. 19
Compound: LaGdAg2
Source: OQMD via LeMat-Bulk
Functional: PBE
Structure: relaxed

Cell lengths 3.709, 3.709, 7.537 Å; angles 90.00, 90.00, 90.00 degrees
Last column: magnetic moment on the atom in μB.
Positions (direct):
Gd 0.500 0.500 0.500  -0.01
La 0.500 0.500 0.000  0.06
Ag 0.000 0.000 0.271  0.00
Ag 0.000 0.000 0.729  0.00

Computed properties:
As for the size of the total moment: 0.07 μB per cell. The formation energy is -0.2937 eV/atom. Its symmetry is P4/mmm.

No. 20
Compound: RbHo2CuS4
Source: OQMD via LeMat-Bulk
Functional: PBE
Structure: relaxed

Cell lengths 7.134, 7.134, 13.724 Å; angles 90.00, 90.00, 147.74 degrees
Positions (direct):
S 0.741 0.259 0.892
S 0.259 0.741 0.108
S 0.000 0.000 0.000
S 0.741 0.259 0.608
S 0.000 0.000 0.500
S 0.575 0.425 0.250
S 0.259 0.741 0.392
S 0.425 0.575 0.750
Ho 0.366 0.634 0.938
Ho 0.634 0.366 0.438
Ho 0.366 0.634 0.562
Ho 0.634 0.366 0.062
Cu 0.165 0.835 0.250
Cu 0.835 0.165 0.750
Rb 0.892 0.108 0.250
Rb 0.108 0.892 0.750

Computed properties:
The value obtained for the total DFT energy (no corrections) is -43.56 eV/f.u. As for the size of the total moment: 0.00 μB per cell. Its symmetry is Cmcm.